# 1
Below is a geometry-optimized Cs2TmTlS4 structure, with properties calculated at the PBE-GGA level.

The structure belongs to space group C2/c (No. 15); the cell edges are 11.9140, 12.6342 and 8.4553 Å and the angles 90.00°, 131.50° and 90.00°. Symmetry generates all atoms from Cs at (0.0000, 0.0000, 0.0000), Cs at (0.2500, 0.2500, 0.0000), Tm at (0.0000, 0.5000, 0.0000), Tl at (0.2500, 0.2500, 0.5000), S at (0.0209, 0.2743, 0.4799) and S at (0.1976, 0.4880, 0.4389).

As for the crystal system: monoclinic. The calculation puts the magnetic moment at 0.00 Bohr magnetons per cell. The raw total energy is -4.185 eV per atom.

# 2
Below is a geometry-optimized Cs2UTl2S6 structure, with properties calculated at the PBE-GGA level.

The structure belongs to space group C2/m (No. 12); the cell edges are 7.2892, 12.1045 and 8.6394 Å and the angles 90.00°, 108.25° and 90.00°. Symmetry generates all atoms from Cs at (0.0000, 0.1767, 0.0000), U at (0.0000, 0.0000, 0.5000), Tl at (0.0000, 0.3304, 0.5000), S at (0.2142, 0.1461, 0.6892) and S at (0.2277, 0.0000, 0.3219).

As for the crystal system: monoclinic. The calculation puts the magnetic moment at 0.00 Bohr magnetons per cell. The raw total energy is -4.694 eV per atom.

# 3
Below is a geometry-optimized CsU3Tl2S8 structure, with properties calculated at the PBE-GGA level.

The structure belongs to space group R3m (No. 160, hexagonal axes); the cell edges are 8.1361, 8.1361 and 24.7589 Å and the angles 90.00°, 90.00° and 120.00°. Symmetry generates all atoms from Cs at (0.0000, 0.0000, 0.0000), U at (0.1676, 0.3352, 0.1903), Tl at (0.0000, 0.0000, 0.3330), Tl at (0.0000, 0.0000, 0.7413), S at (0.0000, 0.0000, 0.1353), S at (0.0000, 0.0000, 0.5806), S at (0.0311, 0.5155, 0.1329) and S at (0.1825, 0.3650, 0.9141).

As for the crystal system: trigonal. The calculation puts the magnetic moment at 15.00 Bohr magnetons per cell. The raw total energy is -6.333 eV per atom.

# 4
Below is a geometry-optimized CsU2Tl2S7 structure, with properties calculated at the PBE-GGA level.

The structure belongs to space group C2/m (No. 12); the cell edges are 7.3845, 7.3838 and 13.7046 Å and the angles 90.00°, 105.51° and 90.00°. Symmetry generates all atoms from Cs at (0.0000, 0.0000, 0.0000), U at (0.0993, 0.5000, 0.2001), Tl at (0.1864, 0.0000, 0.3704), S at (0.0000, 0.5000, 0.0000), S at (0.1516, 0.2499, 0.8018) and S at (0.1901, 0.5000, 0.3850).

As for the crystal system: monoclinic. The calculation puts the magnetic moment at 2.06 Bohr magnetons per cell. The raw total energy is -5.778 eV per atom.

# 5
Below is a geometry-optimized Cs2UTlS4 structure, with properties calculated at the PBE-GGA level.

The structure belongs to space group I-4 (No. 82); the cell edges are 8.2010, 8.2010 and 9.6438 Å and the angles 90.00°, 90.00° and 90.00°. Symmetry generates all atoms from Cs at (0.0000, 0.0000, 0.0000), Cs at (0.0000, 0.5000, 0.2500), U at (0.0000, 0.5000, 0.7500), Tl at (0.0000, 0.0000, 0.5000) and S at (0.1721, 0.2910, 0.6305).

As for the crystal system: tetragonal. The calculation puts the magnetic moment at 2.00 Bohr magnetons per cell. The raw total energy is -4.945 eV per atom.

# 6
Below is a geometry-optimized CsTlVS4 structure, with properties calculated at the PBE-GGA level.

The structure belongs to space group P2_1/m (No. 11); the cell edges are 6.1550, 7.3485 and 9.7438 Å and the angles 90.00°, 106.80° and 90.00°. Symmetry generates all atoms from Cs at (0.2292, 0.2500, 0.3954), Tl at (0.3469, 0.7500, 0.9989), V at (0.1421, 0.2500, 0.7955), S at (0.0984, 0.2500, 0.0081), S at (0.1704, 0.7500, 0.3663) and S at (0.3435, 0.0096, 0.7753).

As for the crystal system: monoclinic. The calculation puts the magnetic moment at 0.00 Bohr magnetons per cell. The raw total energy is -4.854 eV per atom.

# 7
Below is a geometry-optimized Cs2TlWS4 structure, with properties calculated at the PBE-GGA level.

The structure belongs to space group Fddd (No. 70, origin choice 2); the cell edges are 7.3648, 13.7734 and 24.8762 Å and the angles 90.00°, 90.00° and 90.00°. Symmetry generates all atoms from Cs at (0.1250, 0.1250, 0.3071), Tl at (0.1250, 0.1250, 0.1250), W at (0.1250, 0.1250, 0.6250) and S at (0.0607, 0.2821, 0.8243).

As for the crystal system: orthorhombic. The calculation puts the magnetic moment at 8.14 Bohr magnetons per cell. The raw total energy is -4.915 eV per atom.

# 8
Below is a geometry-optimized Cs2Zr3TlS8 structure, with properties calculated at the PBE-GGA level.

The structure belongs to space group R3m (No. 160, hexagonal axes); the cell edges are 7.6124, 7.6124 and 25.8511 Å and the angles 90.00°, 90.00° and 120.00°. Symmetry generates all atoms from Cs at (0.0000, 0.0000, 0.0000), Cs at (0.0000, 0.0000, 0.3514), Zr at (0.1673, 0.3347, 0.8301), Tl at (0.0000, 0.0000, 0.6147), S at (0.0000, 0.0000, 0.2204), S at (0.0000, 0.0000, 0.7748), S at (0.0190, 0.5095, 0.7772) and S at (0.1798, 0.3596, 0.5543).

As for the crystal system: trigonal. The calculation puts the magnetic moment at 1.39 Bohr magnetons per cell. The raw total energy is -5.722 eV per atom.

# 9
Below is a geometry-optimized Cs2ZrTlS4 structure, with properties calculated at the PBE-GGA level.

The structure belongs to space group Fddd (No. 70, origin choice 2); the cell edges are 6.8726, 14.8423 and 24.7007 Å and the angles 90.00°, 90.00° and 90.00°. Symmetry generates all atoms from Cs at (0.1250, 0.1250, 0.3058), Zr at (0.1250, 0.1250, 0.1250), Tl at (0.1250, 0.1250, 0.6250) and S at (0.0849, 0.2794, 0.4291).

As for the crystal system: orthorhombic. The calculation puts the magnetic moment at 0.00 Bohr magnetons per cell. The raw total energy is -4.709 eV per atom.

# 10
Below is a geometry-optimized CsZr3Tl2S8 structure, with properties calculated at the PBE-GGA level.

The structure belongs to space group R3m (No. 160, hexagonal axes); the cell edges are 7.6281, 7.6281 and 25.8333 Å and the angles 90.00°, 90.00° and 120.00°. Symmetry generates all atoms from Cs at (0.0000, 0.0000, 0.0000), Zr at (0.0069, 0.5035, 0.8558), Tl at (0.0000, 0.0000, 0.3941), Tl at (0.0000, 0.0000, 0.7313), S at (0.0000, 0.0000, 0.1309), S at (0.0000, 0.0000, 0.5747), S at (0.0124, 0.5062, 0.1312) and S at (0.1769, 0.3537, 0.9072).

As for the crystal system: trigonal. The calculation puts the magnetic moment at 0.00 Bohr magnetons per cell. The raw total energy is -5.728 eV per atom.

# 11
Below is a geometry-optimized Cs3TmS3 structure, with properties calculated at the PBE-GGA level.

The structure belongs to space group P2_1/c (No. 14); the cell edges are 8.6634, 14.5887 and 11.1468 Å and the angles 90.00°, 127.17° and 90.00°. Symmetry generates all atoms from Cs at (0.1089, 0.1253, 0.4751), Cs at (0.1666, 0.1083, 0.8855), Cs at (0.3308, 0.6748, 0.5425), Tm at (0.4464, 0.0648, 0.3413), S at (0.1840, 0.1871, 0.2039), S at (0.3345, 0.5949, 0.8694) and S at (0.3709, 0.5435, 0.2680).

As for the crystal system: monoclinic. The calculation puts the magnetic moment at 0.00 Bohr magnetons per cell. The polymorph energy (0 for the lowest one) comes out at 12 meV per atom. The raw total energy is -4.243 eV per atom.

# 12
Below is a geometry-optimized CsTm2S3 structure, with properties calculated at the PBE-GGA level.

The structure belongs to space group P6/mmm (No. 191); the cell edges are 7.0986, 7.0986 and 3.5994 Å and the angles 90.00°, 90.00° and 120.00°. Symmetry generates all atoms from Cs at (0.0000, 0.0000, 0.0000), Tm at (0.3333, 0.6667, 0.5000) and S at (0.0000, 0.5000, 0.0000).

As for the crystal system: hexagonal. The calculation puts the magnetic moment at 0.00 Bohr magnetons per cell. The polymorph energy (0 for the lowest one) comes out at 0 meV per atom. The raw total energy is -5.433 eV per atom.

# 13
Below is a geometry-optimized Cs2TmS3 structure, with properties calculated at the PBE-GGA level.

The structure belongs to space group Immm (No. 71); the cell edges are 4.0187, 6.1450 and 15.5513 Å and the angles 90.00°, 90.00° and 90.00°. Symmetry generates all atoms from Cs at (0.0000, 0.0000, 0.1848), Tm at (0.0000, 0.0000, 0.5000), S at (0.0000, 0.5000, 0.1148) and S at (0.0000, 0.5000, 0.5000).

As for the crystal system: orthorhombic. The calculation puts the magnetic moment at 1.77 Bohr magnetons per cell. The raw total energy is -4.340 eV per atom.

# 14
Below is a geometry-optimized Cs5TmS4 structure, with properties calculated at the PBE-GGA level.

The structure belongs to space group C2/m (No. 12); the cell edges are 20.6441, 4.4702 and 9.0883 Å and the angles 90.00°, 105.66° and 90.00°. Symmetry generates all atoms from Cs at (0.0000, 0.0000, 0.0000), Cs at (0.1585, 0.5000, 0.8464), Cs at (0.1665, 0.5000, 0.3558), Tm at (0.0000, 0.0000, 0.5000), S at (0.0013, 0.5000, 0.2982) and S at (0.1395, 0.0000, 0.5899).

As for the crystal system: monoclinic. The calculation puts the magnetic moment at 0.00 Bohr magnetons per cell. The raw total energy is -3.701 eV per atom.

# 15
Below is a geometry-optimized Cs3TmS3 structure, with properties calculated at the PBE-GGA level.

The structure belongs to space group C2/m (No. 12); the cell edges are 9.4680, 14.6101 and 8.5403 Å and the angles 90.00°, 102.08° and 90.00°. Symmetry generates all atoms from Cs at (0.0000, 0.1847, 0.0000), Cs at (0.0000, 0.2554, 0.5000), Cs at (0.1230, 0.5000, 0.8594), Tm at (0.1715, 0.0000, 0.6428), S at (0.0969, 0.0000, 0.3290) and S at (0.1990, 0.3586, 0.2292).

As for the crystal system: monoclinic. The calculation puts the magnetic moment at 0.00 Bohr magnetons per cell. The polymorph energy (0 for the lowest one) comes out at 0 meV per atom. The raw total energy is -4.254 eV per atom.

# 16
Below is a geometry-optimized CsTmS structure, with properties calculated at the PBE-GGA level.

The structure belongs to space group Pcca (No. 54); the cell edges are 6.9664, 7.8213 and 6.9662 Å and the angles 90.00°, 90.00° and 90.00°. Symmetry generates all atoms from Cs at (0.2500, 0.0000, 0.0009), Tm at (0.2500, 0.5000, 0.0000) and S at (0.0000, 0.3535, 0.2500).

As for the crystal system: orthorhombic. The calculation puts the magnetic moment at 0.00 Bohr magnetons per cell. The raw total energy is -3.984 eV per atom.

# 17
Below is a geometry-optimized CsTm2S3 structure, with properties calculated at the PBE-GGA level.

The structure belongs to space group P2_1/m (No. 11); the cell edges are 8.4958, 3.8810 and 10.3295 Å and the angles 90.00°, 101.53° and 90.00°. Symmetry generates all atoms from Cs at (0.0262, 0.2500, 0.3250), Tm at (0.3302, 0.2500, 0.0159), Tm at (0.4827, 0.2500, 0.6682), S at (0.2253, 0.7500, 0.1495), S at (0.3259, 0.7500, 0.5127) and S at (0.3807, 0.7500, 0.8383).

As for the crystal system: monoclinic. The calculation puts the magnetic moment at 0.00 Bohr magnetons per cell. The polymorph energy (0 for the lowest one) comes out at 33 meV per atom. The raw total energy is -5.400 eV per atom.

# 18
Below is a geometry-optimized CsTm5S8 structure, with properties calculated at the PBE-GGA level.

The structure belongs to space group C2/m (No. 12); the cell edges are 20.1426, 3.9437 and 9.7235 Å and the angles 90.00°, 104.61° and 90.00°. Symmetry generates all atoms from Cs at (0.0000, 0.0000, 0.0000), Tm at (0.0000, 0.5000, 0.5000), Tm at (0.1567, 0.0000, 0.4537), Tm at (0.2035, 0.0000, 0.8395), S at (0.0791, 0.0000, 0.6442), S at (0.0824, 0.5000, 0.3174), S at (0.1704, 0.5000, 0.9888) and S at (0.2302, 0.5000, 0.6471).

As for the crystal system: monoclinic. The calculation puts the magnetic moment at 0.00 Bohr magnetons per cell. The raw total energy is -6.045 eV per atom.

# 19
Below is a geometry-optimized Cs3Tm2US6 structure, with properties calculated at the PBE-GGA level.

The structure belongs to space group C2/m (No. 12); the cell edges are 7.0812, 12.2636 and 8.3997 Å and the angles 90.00°, 106.33° and 90.00°. Symmetry generates all atoms from Cs at (0.0000, 0.0000, 0.0000), Cs at (0.0000, 0.3330, 0.0000), Tm at (0.0000, 0.1666, 0.5000), U at (0.0000, 0.5000, 0.5000), S at (0.2218, 0.0000, 0.6801) and S at (0.2292, 0.3308, 0.6802).

As for the crystal system: monoclinic. The calculation puts the magnetic moment at 5.84 Bohr magnetons per cell. The raw total energy is -5.601 eV per atom.